Record 1
! LaH3Pt (PBE, optimized geometry); values from VASP
&SYSTEM
  ibrav = 0, nat = 10, ntyp = 3
/
ATOMIC_SPECIES
H 1.01 H.upf
Pt 195.08 Pt.upf
La 138.91 La.upf
CELL_PARAMETERS angstrom
-3.6299 2.9024 4.1730
0.9894 -3.6595 2.4056
3.7236 2.1520 1.7423
ATOMIC_POSITIONS crystal
H 0.1868 0.4608 0.0789
H 0.9453 0.2886 0.5789
H 0.4482 0.8702 0.0798
H 0.5671 0.3775 0.3267
H 0.6840 0.8791 0.5797
H 0.5651 0.3722 0.8269
Pt 0.7861 0.5577 0.5790
Pt 0.3461 0.1917 0.0790
La 0.8478 0.0558 0.0791
La 0.2844 0.6936 0.5791
! **Uncorrected energy**: -4.8186 eV/atom
! **Magnetic moment**: 0.0 μB per formula unit
! **Density of states at the Fermi level**: 0.09 states/eV/cell



Record 2
! Cs3NiCl6 (PBE, optimized geometry); values from VASP
&SYSTEM
  ibrav = 0, nat = 10, ntyp = 3
/
ATOMIC_SPECIES
Cs 132.91 Cs.upf
Ni 58.69 Ni.upf
Cl 35.45 Cl.upf
CELL_PARAMETERS angstrom
-2.8748 -2.5010 6.8611
2.9177 -7.1528 -1.3848
4.7623 -3.3798 5.2520
ATOMIC_POSITIONS crystal
Cs 0.7500 0.2500 0.5000
Cs 0.2500 0.7500 0.5000
Cs 0.0000 0.0000 0.0000
Ni 0.5000 0.5000 0.0000
Cl 0.2907 0.2907 0.4186
Cl 0.7093 0.7093 0.5814
Cl 0.2912 0.2912 0.0000
Cl 0.7088 0.7088 0.0000
Cl 0.7088 0.2912 0.0000
Cl 0.2912 0.7088 0.0000
! **Magnetic moment**: 1.0 μB per formula unit
! **Formation energy from raw total energies**: -1314 kJ/mol of formula units
! **Density of states at the Fermi level**: 9.28 states/eV/cell



> Which of these has the lowest density of states at the Fermi level?

LaH3Pt



> Which of these has the highest magnetic moment?

Cs3NiCl6



> Among the records above, which one has the highest magnetic moment?

Cs3NiCl6